A plane-wave DFT calculation with PBE-GGA was carried out for a geometry-optimized Ca2PBr structure.

Output
volume: 28.14 Å³ per atom
VASP energy: -32.75 eV per cell

Cell: 3.825 3.966 14.839 Å, 90.00 90.00 90.00°
Space group Imm2 (No. 44)
Asymmetric unit:
Ca: 0.000 0.000 0.000 (multiplicity 2)
Ca: 0.000 0.500 0.202 (multiplicity 2)
P: 0.000 0.500 0.636 (multiplicity 2)
Br: 0.000 0.000 0.392 (multiplicity 2)



A plane-wave DFT calculation with PBE-GGA was carried out for a geometry-optimized Ca2PBr structure.

Output
volume: 24.05 Å³ per atom
VASP energy: -64.38 eV per cell

Cell: 7.273 7.273 7.273 Å, 90.00 90.00 90.00°
Space group Fm-3m (No. 225)
Asymmetric unit:
Ca: 0.250 0.250 0.250 (multiplicity 8)
P: 0.000 0.000 0.000 (multiplicity 4)
Br: 0.000 0.000 0.500 (multiplicity 4)



A plane-wave DFT calculation with PBE-GGA was carried out for a geometry-optimized Ca2PBr structure.

Output
volume: 24.70 Å³ per atom
VASP energy: -50.89 eV per cell

Cell: 7.338 7.338 7.338 Å, 90.00 90.00 90.00°
Space group F-43m (No. 216)
Asymmetric unit:
Ca: 0.000 0.000 0.000 (multiplicity 4)
Ca: 0.250 0.250 0.250 (multiplicity 4)
P: 0.000 0.000 0.500 (multiplicity 4)
Br: 0.250 0.250 0.750 (multiplicity 4)



A plane-wave DFT calculation with PBE-GGA was carried out for a geometry-optimized Ca2PBr structure.

Output
volume: 26.18 Å³ per atom
VASP energy: -16.76 eV per cell

Cell: 4.252 4.252 5.792 Å, 90.00 90.00 90.00°
Space group P4/mmm (No. 123)
Asymmetric unit:
Ca: 0.000 0.000 0.000 (multiplicity 1)
Ca: 0.500 0.500 0.500 (multiplicity 1)
P: 0.000 0.000 0.500 (multiplicity 1)
Br: 0.500 0.500 0.000 (multiplicity 1)



A plane-wave DFT calculation with PBE-GGA was carried out for a geometry-optimized Ca2PBr structure.

Output
volume: 36.02 Å³ per atom
VASP energy: -64.56 eV per cell

Cell: 6.516 6.516 13.575 Å, 90.00 90.00 90.00°
Space group I-42d (No. 122)
Asymmetric unit:
Ca: 0.208 0.250 0.125 (multiplicity 8)
P: 0.000 0.000 0.000 (multiplicity 4)
Br: 0.000 0.000 0.500 (multiplicity 4)



A plane-wave DFT calculation with PBE-GGA was carried out for a geometry-optimized CaP3Br structure.

Output
volume: 23.55 Å³ per atom
VASP energy: -16.46 eV per cell

Cell: 4.902 4.902 4.902 Å, 90.00 90.00 90.00°
Space group Pm-3m (No. 221)
Asymmetric unit:
Ca: 0.000 0.000 0.000 (multiplicity 1)
P: 0.000 0.500 0.500 (multiplicity 3)
Br: 0.500 0.500 0.500 (multiplicity 1)



A plane-wave DFT calculation with PBE-GGA was carried out for a geometry-optimized CaPrPBr structure.

Output
volume: 27.76 Å³ per atom
VASP energy: -59.14 eV per cell

Cell: 4.1443 4.1443 22.3971 Å, 90.00 90.00 120.00°
Space group R3m (No. 160, hexagonal axes)
Asymmetric unit:
Ca: 0.0000 0.0000 0.0000 (multiplicity 3)
Pr: 0.0000 0.0000 0.8032 (multiplicity 3)
P: 0.0000 0.0000 0.3986 (multiplicity 3)
Br: 0.0000 0.0000 0.5717 (multiplicity 3)



A plane-wave DFT calculation with PBE-GGA was carried out for a geometry-optimized CaRe2PBr structure.

Output
volume: 32.98 Å³ per atom
VASP energy: -20.80 eV per cell

Cell: 5.639 5.639 5.186 Å, 90.00 90.00 90.00°
Space group P4/mmm (No. 123)
Asymmetric unit:
Ca: 0.000 0.000 0.000 (multiplicity 1)
Re: 0.000 0.500 0.000 (multiplicity 2)
P: 0.500 0.500 0.500 (multiplicity 1)
Br: 0.000 0.000 0.500 (multiplicity 1)



A plane-wave DFT calculation with PBE-GGA was carried out for a geometry-optimized CaPS2Br structure.

Output
volume: 23.57 Å³ per atom
VASP energy: -15.86 eV per cell

Cell: 4.886 4.886 4.937 Å, 90.00 90.00 90.00°
Space group P4/mmm (No. 123)
Asymmetric unit:
Ca: 0.000 0.000 0.000 (multiplicity 1)
P: 0.500 0.500 0.000 (multiplicity 1)
S: 0.000 0.500 0.500 (multiplicity 2)
Br: 0.500 0.500 0.500 (multiplicity 1)



A plane-wave DFT calculation with PBE-GGA was carried out for a geometry-optimized Ca8P3SBr4 structure.

Output
volume: 26.79 Å³ per atom
VASP energy: -206.58 eV per cell

Cell: 8.3950 8.3950 21.0712 Å, 90.00 90.00 120.00°
Space group R-3m (No. 166, hexagonal axes)
Asymmetric unit:
Ca: 0.0000 0.0000 0.2354 (multiplicity 6)
Ca: 0.0056 0.5028 0.7648 (multiplicity 18)
P: 0.0000 0.5000 0.5000 (multiplicity 9)
S: 0.0000 0.0000 0.5000 (multiplicity 3)
Br: 0.0000 0.0000 0.0000 (multiplicity 3)
Br: 0.0000 0.5000 0.0000 (multiplicity 9)



A plane-wave DFT calculation with PBE-GGA was carried out for a geometry-optimized Ca6PS2Br3 structure.

Output
volume: 25.76 Å³ per atom
VASP energy: -101.73 eV per cell

Cell: 7.167 12.405 7.353 Å, 90.00 108.92 90.00°
Space group C2/m (No. 12)
Asymmetric unit:
Ca: 0.235 0.165 0.209 (multiplicity 8)
Ca: 0.240 0.500 0.210 (multiplicity 4)
P: 0.000 0.000 0.000 (multiplicity 2)
S: 0.000 0.334 0.000 (multiplicity 4)
Br: 0.000 0.169 0.500 (multiplicity 4)
Br: 0.000 0.500 0.500 (multiplicity 2)



A plane-wave DFT calculation with PBE-GGA was carried out for a geometry-optimized CaPS2Br structure.

Output
volume: 32.18 Å³ per atom
VASP energy: -14.31 eV per cell

Cell: 5.260 5.260 5.815 Å, 90.00 90.00 90.00°
Space group P4/mmm (No. 123)
Asymmetric unit:
Ca: 0.000 0.000 0.000 (multiplicity 1)
P: 0.000 0.000 0.500 (multiplicity 1)
S: 0.000 0.500 0.000 (multiplicity 2)
Br: 0.500 0.500 0.500 (multiplicity 1)